No. 1
# Sr8PdPtAu2 PBE-GGA relaxed
data_Sr8PdPtAu2
_chemical_formula_sum 'Sr8 Pd1 Pt1 Au2'
_cell_length_a 7.207
_cell_length_b 9.035
_cell_length_c 7.428
_cell_angle_alpha 90.00
_cell_angle_beta 90.02
_cell_angle_gamma 90.00
_symmetry_space_group_name_H-M 'P 1 2/m 1'
_symmetry_Int_Tables_number 10
loop_
_symmetry_equiv_pos_as_xyz
'x,y,z'
'-x,-y,-z'
'-x,y,-z'
'x,-y,z'
loop_
_atom_site_label
_atom_site_fract_x
_atom_site_fract_y
_atom_site_fract_z
Sr1 0.229 0.247 0.165
Sr2 0.255 0.000 0.678
Sr3 0.257 0.500 0.674
Pd1 0.000 0.500 0.000
Pt1 0.000 0.000 0.000
Au1 0.500 0.249 0.500
# total energy	-38.1	eV for the cell shown
# ΔE_f	-570	meV per atom
# calculated volume	40.31	A^3/atom
# total magnetization	0.000	μB per formula unit

***

No. 2
# ZrGa2Rh4 PBE-GGA relaxed
data_ZrGa2Rh4
_chemical_formula_sum 'Zr2 Ga4 Rh8'
_cell_length_a 6.121
_cell_length_b 6.121
_cell_length_c 6.078
_cell_angle_alpha 90.00
_cell_angle_beta 90.00
_cell_angle_gamma 90.00
_symmetry_space_group_name_H-M 'I 4/m m m'
_symmetry_Int_Tables_number 139
_symmetry_space_group_name_Hall '-I 4 2'
loop_
_atom_site_label
_atom_site_fract_x
_atom_site_fract_y
_atom_site_fract_z
Zr1 0.000 0.000 0.000
Ga1 0.000 0.500 0.000
Rh1 0.250 0.250 0.250
# total energy	-95.3	eV for the cell shown
# energy above the lowest structure with this stoichiometry	0.000	eV/atom
# ΔE_f	-517	meV per atom
# calculated volume	16.26	A^3/atom
# total magnetization	0.000	μB per formula unit

***

No. 3
# MgTaPb3 PBE-GGA relaxed
data_MgTaPb3
_chemical_formula_sum 'Mg1 Ta1 Pb3'
_cell_length_a 5.535
_cell_length_b 5.535
_cell_length_c 5.535
_cell_angle_alpha 90.00
_cell_angle_beta 90.00
_cell_angle_gamma 90.00
_symmetry_space_group_name_H-M 'P m -3 m'
_symmetry_Int_Tables_number 221
_symmetry_space_group_name_Hall '-P 4 2 3'
loop_
_atom_site_label
_atom_site_fract_x
_atom_site_fract_y
_atom_site_fract_z
Mg1 0.000 0.000 0.000
Ta1 0.500 0.500 0.500
Pb1 0.000 0.500 0.500
# total energy	-21.9	eV for the cell shown
# energy above the lowest structure with this stoichiometry	0.000	eV/atom
# ΔE_f	540	meV per atom
# calculated volume	33.91	A^3/atom
# total magnetization	0.000	μB per formula unit

***

No. 4
# NdGa5Ir2Pd PBE-GGA relaxed
data_NdGa5Ir2Pd
_chemical_formula_sum 'Nd1 Ga5 Ir2 Pd1'
_cell_length_a 4.810
_cell_length_b 4.810
_cell_length_c 7.740
_cell_angle_alpha 90.00
_cell_angle_beta 90.00
_cell_angle_gamma 90.00
_symmetry_space_group_name_H-M 'P 4/m m m'
_symmetry_Int_Tables_number 123
_symmetry_space_group_name_Hall '-P 4 2'
loop_
_atom_site_label
_atom_site_fract_x
_atom_site_fract_y
_atom_site_fract_z
Nd1 0.000 0.000 0.000
Ga1 0.000 0.500 0.319
Ga2 0.500 0.500 0.000
Ir1 0.500 0.500 0.296
Pd1 0.000 0.000 0.500
# total energy	-45.8	eV for the cell shown
# ΔE_f	-326	meV per atom
# calculated volume	19.90	A^3/atom
# total magnetization	0.000	μB per formula unit

***

No. 5
# MgSbCl2 PBE-GGA relaxed
data_MgSbCl2
_chemical_formula_sum 'Mg2 Sb2 Cl4'
_cell_length_a 3.808
_cell_length_b 6.195
_cell_length_c 9.525
_cell_angle_alpha 90.00
_cell_angle_beta 90.00
_cell_angle_gamma 90.00
_symmetry_space_group_name_H-M 'C m m 2'
_symmetry_Int_Tables_number 35
loop_
_symmetry_equiv_pos_as_xyz
'x,y,z'
'-x,-y,z'
'-x,y,z'
'x,-y,z'
'x+1/2,y+1/2,z'
'-x+1/2,-y+1/2,z'
'-x+1/2,y+1/2,z'
'x+1/2,-y+1/2,z'
loop_
_atom_site_label
_atom_site_fract_x
_atom_site_fract_y
_atom_site_fract_z
Mg1 0.000 0.000 0.000
Sb1 0.000 0.500 0.255
Cl1 0.000 0.000 0.462
Cl2 0.000 0.500 0.846
# raw formation energy	-0.62	eV per atom
# total energy	-23.7	eV for the cell shown
# energy above the lowest structure with this stoichiometry	0.507	eV/atom
# calculated volume	28.09	A^3/atom
# total magnetization	0.000	μB per formula unit

***

No. 6
# Pr2DyHoAs4 PBE-GGA relaxed
data_Pr2DyHoAs4
_chemical_formula_sum 'Pr2 Dy1 Ho1 As4'
_cell_length_a 7.286
_cell_length_b 4.213
_cell_length_c 7.293
_cell_angle_alpha 90.00
_cell_angle_beta 109.48
_cell_angle_gamma 90.00
_symmetry_space_group_name_H-M 'P 1 2/m 1'
_symmetry_Int_Tables_number 10
loop_
_symmetry_equiv_pos_as_xyz
'x,y,z'
'-x,-y,-z'
'-x,y,-z'
'x,-y,z'
loop_
_atom_site_label
_atom_site_fract_x
_atom_site_fract_y
_atom_site_fract_z
Pr1 0.000 0.000 0.000
Pr2 0.000 0.500 0.500
Dy1 0.500 0.000 0.500
Ho1 0.500 0.500 0.000
As1 0.262 0.000 0.755
As2 0.262 0.500 0.253
# total energy	-49.4	eV for the cell shown
# ΔE_f	-1508	meV per atom
# calculated volume	26.38	A^3/atom
# total magnetization	0.000	μB per formula unit

***

No. 7
# NdMg5Ag2 PBE-GGA relaxed
data_NdMg5Ag2
_chemical_formula_sum 'Nd2 Mg10 Ag4'
_cell_length_a 4.345
_cell_length_b 8.264
_cell_length_c 10.444
_cell_angle_alpha 90.00
_cell_angle_beta 90.00
_cell_angle_gamma 90.00
_symmetry_space_group_name_H-M 'I m m m'
_symmetry_Int_Tables_number 71
_symmetry_space_group_name_Hall '-I 2 2'
loop_
_atom_site_label
_atom_site_fract_x
_atom_site_fract_y
_atom_site_fract_z
Nd1 0.000 0.000 0.000
Mg1 0.000 0.188 0.348
Mg2 0.000 0.500 0.000
Ag1 0.000 0.500 0.264
# total energy	-39.5	eV for the cell shown
# ΔE_f	-162	meV per atom
# calculated volume	23.44	A^3/atom
# total magnetization	0.000	μB per formula unit

***

No. 8
# CuPOsS PBE-GGA relaxed
data_CuPOsS
_chemical_formula_sum 'Cu2 P2 Os2 S2'
_cell_length_a 7.666
_cell_length_b 3.035
_cell_length_c 5.776
_cell_angle_alpha 90.00
_cell_angle_beta 112.65
_cell_angle_gamma 90.00
_symmetry_space_group_name_H-M 'C 1 m 1'
_symmetry_Int_Tables_number 8
loop_
_symmetry_equiv_pos_as_xyz
'x,y,z'
'x,-y,z'
'x+1/2,y+1/2,z'
'x+1/2,-y+1/2,z'
loop_
_atom_site_label
_atom_site_fract_x
_atom_site_fract_y
_atom_site_fract_z
Cu1 0.000 0.000 0.000
P1 0.172 0.500 0.837
Os1 0.021 0.000 0.505
S1 0.267 0.000 0.378
# raw formation energy	0.03	eV per atom
# total energy	-49.5	eV for the cell shown
# energy above the lowest structure with this stoichiometry	0.105	eV/atom
# calculated volume	15.50	A^3/atom
# total magnetization	0.000	μB per formula unit